Density functional theory data (PBE) for a relaxed structure of SrMgRe2Pb.

It has space group P4/mmm (No. 123), with a = 5.124 Å, b = 5.124 Å, c = 5.755 Å, α = 90.00°, β = 90.00° and γ = 90.00°. The inequivalent atoms are Sr at (0.000, 0.000, 0.000), Mg at (0.500, 0.500, 0.000), Re at (0.000, 0.500, 0.500) and Pb at (0.000, 0.000, 0.500).

The calculation puts the size of the total moment at 2.14 μB/f.u. Its total energy is -4.359 eV/atom.

***

Density functional theory data (PBE) for a relaxed structure of Mg2ReTePb.

It has space group P4/mmm (No. 123), with a = 5.256 Å, b = 5.256 Å, c = 4.975 Å, α = 90.00°, β = 90.00° and γ = 90.00°. The inequivalent atoms are Mg at (0.000, 0.500, 0.000), Re at (0.000, 0.000, 0.000), Te at (0.000, 0.000, 0.500) and Pb at (0.500, 0.500, 0.500).

The calculation puts the size of the total moment at 0.00 μB/f.u. Its total energy is -3.963 eV/atom. The uncorrected formation energy is 0.535 eV/atom.

***

Density functional theory data (PBE) for a relaxed structure of Mg2ZnRePb.

It has space group P4/mmm (No. 123), with a = 5.329 Å, b = 5.329 Å, c = 5.085 Å, α = 90.00°, β = 90.00° and γ = 90.00°. The inequivalent atoms are Mg at (0.000, 0.500, 0.000), Zn at (0.000, 0.000, 0.500), Re at (0.500, 0.500, 0.500) and Pb at (0.000, 0.000, 0.000).

The calculation puts the size of the total moment at 3.45 μB/f.u. Its total energy is -2.579 eV/atom.

***

Density functional theory data (PBE) for a relaxed structure of Mg2RhPb.

It has space group P4/mmm (No. 123), with a = 4.302 Å, b = 4.302 Å, c = 4.147 Å, α = 90.00°, β = 90.00° and γ = 90.00°. The inequivalent atoms are Mg at (0.000, 0.500, 0.000), Rh at (0.000, 0.000, 0.500) and Pb at (0.500, 0.500, 0.500).

The calculation puts the size of the total moment at 0.00 μB/f.u. Its total energy is -3.722 eV/atom.

***

Density functional theory data (PBE) for a relaxed structure of Mg2RhPb2.

It has space group P4/mbm (No. 127), with a = 7.192 Å, b = 7.192 Å, c = 4.490 Å, α = 90.00°, β = 90.00° and γ = 90.00°. The inequivalent atoms are Mg at (0.162, 0.338, 0.000), Rh at (0.000, 0.000, 0.500) and Pb at (0.151, 0.651, 0.500).

The calculation puts the size of the total moment at 0.00 μB/f.u. The calculation puts the energy above the most stable polymorph in this dataset at 0.00 eV/f.u. Its total energy is -3.537 eV/atom.

***

Density functional theory data (PBE) for a relaxed structure of Mg8Rh2Pb.

It has space group C2/m (No. 12), with a = 8.138 Å, b = 12.038 Å, c = 4.985 Å, α = 90.00°, β = 101.74° and γ = 90.00°. The inequivalent atoms are Mg at (0.000, 0.241, 0.000), Mg at (0.114, 0.000, 0.796), Mg at (0.191, 0.362, 0.574), Rh at (0.000, 0.178, 0.500) and Pb at (0.000, 0.500, 0.000).

The calculation puts the size of the total moment at 0.00 μB/f.u. The calculation puts the energy above the most stable polymorph in this dataset at 0.42 eV/f.u. Its total energy is -3.067 eV/atom.

***

Density functional theory data (PBE) for a relaxed structure of MgRhPb2.

It has space group Imm2 (No. 44), with a = 3.219 Å, b = 4.576 Å, c = 12.939 Å, α = 90.00°, β = 90.00° and γ = 90.00°. The inequivalent atoms are Mg at (0.000, 0.000, 0.000), Rh at (0.000, 0.500, 0.326), Pb at (0.000, 0.000, 0.625) and Pb at (0.000, 0.500, 0.823).

The calculation puts the size of the total moment at 0.00 μB/f.u. Its total energy is -4.145 eV/atom.

***

Density functional theory data (PBE) for a relaxed structure of Mg7Rh4Pb.

It has space group C2/m (No. 12), with a = 12.473 Å, b = 4.951 Å, c = 9.283 Å, α = 90.00°, β = 125.96° and γ = 90.00°. The inequivalent atoms are Mg at (0.000, 0.000, 0.000), Mg at (0.068, 0.500, 0.375), Mg at (0.179, 0.000, 0.617), Mg at (0.220, 0.500, 0.870), Rh at (0.069, 0.000, 0.782), Rh at (0.190, 0.000, 0.343) and Pb at (0.000, 0.500, 0.000).

The calculation puts the size of the total moment at 0.00 μB/f.u. Its total energy is -3.810 eV/atom.

***

Density functional theory data (PBE) for a relaxed structure of Mg2RhPb.

It has space group Pm (No. 6), with a = 3.296 Å, b = 4.078 Å, c = 6.392 Å, α = 90.00°, β = 103.77° and γ = 90.00°. The inequivalent atoms are Mg at (0.000, 0.000, 0.000), Mg at (0.355, 0.500, 0.710), Rh at (0.796, 0.000, 0.579) and Pb at (0.628, 0.500, 0.273).

The calculation puts the size of the total moment at 0.00 μB/f.u. Its total energy is -3.715 eV/atom.

***

Density functional theory data (PBE) for a relaxed structure of Mg3RhPb2.

It has space group P2/m (No. 10), with a = 4.669 Å, b = 8.071 Å, c = 7.351 Å, α = 90.00°, β = 106.02° and γ = 90.00°. The inequivalent atoms are Mg at (0.000, 0.220, 0.000), Mg at (0.312, 0.190, 0.639), Rh at (0.170, 0.000, 0.323), Pb at (0.167, 0.500, 0.332), Pb at (0.500, 0.000, 0.000) and Pb at (0.500, 0.500, 0.000).

The calculation puts the size of the total moment at 0.00 μB/f.u. Its total energy is -3.431 eV/atom.

***

Density functional theory data (PBE) for a relaxed structure of MgRhPb2.

It has space group P4mm (No. 99), with a = 3.318 Å, b = 3.318 Å, c = 8.432 Å, α = 90.00°, β = 90.00° and γ = 90.00°. The inequivalent atoms are Mg at (0.000, 0.000, 0.000), Rh at (0.500, 0.500, 0.842), Pb at (0.000, 0.000, 0.630) and Pb at (0.500, 0.500, 0.270).

The calculation puts the size of the total moment at 0.00 μB/f.u. Its total energy is -4.224 eV/atom.

***

Density functional theory data (PBE) for a relaxed structure of MgRhPb.

It has space group F-43m (No. 216), with a = 6.453 Å, b = 6.453 Å, c = 6.453 Å, α = 90.00°, β = 90.00° and γ = 90.00°. The inequivalent atoms are Mg at (0.000, 0.000, 0.000), Rh at (0.000, 0.000, 0.500) and Pb at (0.250, 0.250, 0.750).

The calculation puts the size of the total moment at 0.00 μB/f.u. The calculation puts the energy above the most stable polymorph in this dataset at 1.23 eV/f.u. Its total energy is -4.064 eV/atom.